Here is ThZnCuRh after structural relaxation from Alexandria. Energies are from PBE.

abc: 6.7083 6.7083 6.7083
angles: 90.00 90.00 90.00
With the nearest neighbours (Å) after each atom.
Space group F-43m (No. 216)
One atom of each set of equivalent atoms:
Th  0.0000  0.0000  0.0000 (multiplicity 4)  4 Rh 2.90, 4 Cu 2.90
Zn  0.0000  0.0000  0.5000 (multiplicity 4)  4 Cu 2.90, 4 Rh 2.90
Cu  0.2500  0.2500  0.2500 (multiplicity 4)  4 Th 2.90, 4 Zn 2.90
Rh  0.2500  0.2500  0.7500 (multiplicity 4)  4 Th 2.90, 4 Zn 2.90

Properties
- E above lowest polymorph (meV/atom) = 139.0
- ΔE_f (eV/atom) = -0.3369
- spin magnetization (μB per formula unit) = 0.00